{
  "formula": "AlV2Fe",
  "functional": "PBE",
  "state": "relaxed",
  "lattice_angstrom": [[3.075, 0.000, 0.000], [0.000, 3.075, 0.000], [0.000, 0.000, 5.594]],
  "species": ["Al", "V", "V", "Fe"],
  "frac_coords": [[0.000, 0.000, 0.000], [0.500, 0.500, 0.276], [0.500, 0.500, 0.724], [0.000, 0.000, 0.500]],
  "delta_e_f_ev_per_fu": -0.3,
  "m_tot_mub_per_fu": 0.72,
  "space_group": "P4/mmm, No. 123"
}

---

{
  "formula": "AlVFe14",
  "functional": "PBE",
  "state": "relaxed",
  "lattice_angstrom": [[2.875, -4.021, 0.000], [2.875, 4.021, 0.000], [0.000, 0.000, 8.044]],
  "species": ["Al", "V", "Fe", "Fe", "Fe", "Fe", "Fe", "Fe", "Fe", "Fe", "Fe", "Fe", "Fe", "Fe", "Fe", "Fe"],
  "frac_coords": [[0.000, 0.000, 0.000], [0.500, 0.500, 0.000], [0.000, 0.000, 0.500], [0.000, 0.500, 0.000], [0.000, 0.500, 0.500], [0.247, 0.753, 0.249], [0.247, 0.753, 0.751], [0.253, 0.253, 0.253], [0.253, 0.253, 0.747], [0.500, 0.000, 0.000], [0.500, 0.000, 0.500], [0.500, 0.500, 0.500], [0.747, 0.747, 0.253], [0.747, 0.747, 0.747], [0.753, 0.247, 0.249], [0.753, 0.247, 0.751]],
  "delta_e_f_ev_per_fu": -1.2,
  "m_tot_mub_per_fu": 29.05,
  "space_group": "Cmmm, No. 65"
}

---

{
  "formula": "AlV8Fe2",
  "functional": "PBE",
  "state": "relaxed",
  "lattice_angstrom": [[6.638, -2.409, 0.000], [6.638, 2.409, 0.000], [-0.714, 0.000, 4.566]],
  "species": ["Al", "V", "V", "V", "V", "V", "V", "V", "V", "Fe", "Fe"],
  "frac_coords": [[0.000, 0.000, 0.000], [0.150, 0.656, 0.410], [0.213, 0.213, 0.112], [0.344, 0.850, 0.590], [0.409, 0.409, 0.917], [0.591, 0.591, 0.083], [0.656, 0.150, 0.410], [0.787, 0.787, 0.888], [0.850, 0.344, 0.590], [0.258, 0.258, 0.615], [0.742, 0.742, 0.385]],
  "delta_e_f_ev_per_fu": 0.2,
  "m_tot_mub_per_fu": 0.00,
  "space_group": "C2/m, No. 12"
}

---

{
  "formula": "AlV2Fe2",
  "functional": "PBE",
  "state": "relaxed",
  "lattice_angstrom": [[6.712, 0.000, 0.000], [0.000, 6.712, 0.000], [0.000, 0.000, 2.798]],
  "species": ["Al", "Al", "V", "V", "V", "V", "Fe", "Fe", "Fe", "Fe"],
  "frac_coords": [[0.000, 0.000, 0.000], [0.500, 0.500, 0.000], [0.166, 0.334, 0.500], [0.334, 0.834, 0.500], [0.666, 0.166, 0.500], [0.834, 0.666, 0.500], [0.134, 0.634, 0.000], [0.366, 0.134, 0.000], [0.634, 0.866, 0.000], [0.866, 0.366, 0.000]],
  "delta_e_f_ev_per_fu": -0.6,
  "m_tot_mub_per_fu": 0.00,
  "space_group": "P4/mbm, No. 127"
}

---

{
  "formula": "Al2V8Fe",
  "functional": "PBE",
  "state": "relaxed",
  "lattice_angstrom": [[4.850, -3.964, 0.000], [4.850, 3.964, 0.000], [-1.297, 0.000, 4.383]],
  "species": ["Al", "Al", "V", "V", "V", "V", "V", "V", "V", "V", "Fe"],
  "frac_coords": [[0.142, 0.142, 0.003], [0.858, 0.858, 0.997], [0.157, 0.656, 0.643], [0.282, 0.282, 0.593], [0.344, 0.843, 0.357], [0.428, 0.428, 0.199], [0.572, 0.572, 0.801], [0.656, 0.157, 0.643], [0.718, 0.718, 0.407], [0.843, 0.344, 0.357], [0.000, 0.000, 0.500]],
  "delta_e_f_ev_per_fu": 4.4,
  "m_tot_mub_per_fu": 0.00,
  "space_group": "C2/m, No. 12"
}

---

{
  "formula": "AlV2Fe",
  "functional": "PBE",
  "state": "relaxed",
  "lattice_angstrom": [[4.207, 0.000, 0.000], [0.000, 7.281, 0.000], [0.000, 0.000, 7.078]],
  "species": ["Al", "Al", "Al", "Al", "V", "V", "V", "V", "V", "V", "V", "V", "Fe", "Fe", "Fe", "Fe"],
  "frac_coords": [[0.000, 0.000, 0.250], [0.000, 0.000, 0.750], [0.500, 0.500, 0.250], [0.500, 0.500, 0.750], [0.000, 0.333, 0.075], [0.000, 0.333, 0.425], [0.000, 0.667, 0.575], [0.000, 0.667, 0.925], [0.500, 0.167, 0.575], [0.500, 0.167, 0.925], [0.500, 0.833, 0.075], [0.500, 0.833, 0.425], [0.000, 0.334, 0.750], [0.000, 0.666, 0.250], [0.500, 0.166, 0.250], [0.500, 0.834, 0.750]],
  "delta_e_f_ev_per_fu": -0.2,
  "m_tot_mub_per_fu": 0.00,
  "space_group": "Cmcm, No. 63"
}

---

{
  "formula": "Al3V12Fe",
  "functional": "PBE",
  "state": "relaxed",
  "lattice_angstrom": [[4.748, 0.000, 0.000], [0.000, 4.750, 0.000], [0.000, 0.000, 9.552]],
  "species": ["Al", "Al", "Al", "V", "V", "V", "V", "V", "V", "V", "V", "V", "V", "V", "V", "Fe"],
  "frac_coords": [[0.000, 0.000, 0.000], [0.500, 0.500, 0.251], [0.500, 0.500, 0.749], [0.000, 0.500, 0.130], [0.000, 0.500, 0.383], [0.000, 0.500, 0.617], [0.000, 0.500, 0.870], [0.243, 0.000, 0.260], [0.243, 0.000, 0.740], [0.500, 0.244, 0.500], [0.500, 0.260, 0.000], [0.500, 0.740, 0.000], [0.500, 0.756, 0.500], [0.757, 0.000, 0.260], [0.757, 0.000, 0.740], [0.000, 0.000, 0.500]],
  "delta_e_f_ev_per_fu": -2.6,
  "m_tot_mub_per_fu": 0.00,
  "space_group": "Pmmm, No. 47"
}

---

{
  "formula": "Al2VFe2",
  "functional": "PBE",
  "state": "relaxed",
  "lattice_angstrom": [[-2.053, 2.731, 6.046], [2.053, -2.731, 6.046], [2.053, 2.731, -6.046]],
  "species": ["Al", "Al", "Al", "Al", "V", "V", "Fe", "Fe", "Fe", "Fe"],
  "frac_coords": [[0.250, 0.000, 0.250], [0.405, 0.655, 0.750], [0.595, 0.345, 0.250], [0.750, 0.000, 0.750], [0.084, 0.334, 0.750], [0.916, 0.666, 0.250], [0.167, 0.173, 0.994], [0.321, 0.827, 0.494], [0.679, 0.173, 0.506], [0.833, 0.827, 0.006]],
  "delta_e_f_ev_per_fu": -1.1,
  "m_tot_mub_per_fu": 0.00,
  "space_group": "Imma, No. 74"
}

---

{
  "formula": "AlVFe6",
  "functional": "PBE",
  "state": "relaxed",
  "lattice_angstrom": [[2.988, -5.610, 0.000], [2.988, 5.610, 0.000], [0.000, 0.000, 11.222]],
  "species": ["Al", "Al", "Al", "Al", "V", "V", "V", "V", "Fe", "Fe", "Fe", "Fe", "Fe", "Fe", "Fe", "Fe", "Fe", "Fe", "Fe", "Fe", "Fe", "Fe", "Fe", "Fe", "Fe", "Fe", "Fe", "Fe", "Fe", "Fe", "Fe", "Fe"],
  "frac_coords": [[0.000, 0.000, 0.248], [0.000, 0.000, 0.752], [0.247, 0.753, 0.500], [0.753, 0.247, 0.500], [0.250, 0.750, 0.000], [0.500, 0.500, 0.250], [0.500, 0.500, 0.750], [0.750, 0.250, 0.000], [0.000, 0.000, 0.000], [0.000, 0.000, 0.500], [0.127, 0.381, 0.123], [0.127, 0.381, 0.877], [0.132, 0.379, 0.374], [0.132, 0.379, 0.626], [0.247, 0.753, 0.252], [0.247, 0.753, 0.748], [0.379, 0.132, 0.374], [0.379, 0.132, 0.626], [0.381, 0.127, 0.123], [0.381, 0.127, 0.877], [0.500, 0.500, 0.000], [0.500, 0.500, 0.500], [0.619, 0.873, 0.123], [0.619, 0.873, 0.877], [0.621, 0.868, 0.374], [0.621, 0.868, 0.626], [0.753, 0.247, 0.252], [0.753, 0.247, 0.748], [0.868, 0.621, 0.374], [0.868, 0.621, 0.626], [0.873, 0.619, 0.123], [0.873, 0.619, 0.877]],
  "delta_e_f_ev_per_fu": -1.2,
  "m_tot_mub_per_fu": 10.77,
  "space_group": "Cmmm, No. 65"
}

---

{
  "formula": "Al2V3Fe2",
  "functional": "PBE",
  "state": "relaxed",
  "lattice_angstrom": [[2.073, 1.197, 5.913], [-2.073, 1.197, 5.913], [0.000, -2.394, 5.913]],
  "species": ["Al", "Al", "V", "V", "V", "Fe", "Fe"],
  "frac_coords": [[0.076, 0.076, 0.076], [0.924, 0.924, 0.924], [0.346, 0.346, 0.346], [0.500, 0.500, 0.500], [0.654, 0.654, 0.654], [0.214, 0.214, 0.214], [0.786, 0.786, 0.786]],
  "delta_e_f_ev_per_fu": -2.2,
  "m_tot_mub_per_fu": 0.00,
  "space_group": "R-3m, No. 166"
}

---

{
  "formula": "AlVFe3",
  "functional": "PBE",
  "state": "relaxed",
  "lattice_angstrom": [[4.275, 0.000, 0.000], [0.000, 4.275, 0.000], [0.000, 0.000, 4.275]],
  "species": ["Al", "V", "Fe", "Fe", "Fe"],
  "frac_coords": [[0.000, 0.000, 0.000], [0.500, 0.500, 0.500], [0.000, 0.000, 0.500], [0.000, 0.500, 0.000], [0.500, 0.000, 0.000]],
  "delta_e_f_ev_per_fu": 5.3,
  "m_tot_mub_per_fu": 3.53,
  "space_group": "Pm-3m, No. 221"
}

---

{
  "formula": "AlVFe",
  "functional": "PBE",
  "state": "relaxed",
  "lattice_angstrom": [[2.868, 0.000, 0.000], [0.000, 2.868, 0.000], [0.000, 0.000, 9.122]],
  "species": ["Al", "Al", "V", "V", "Fe", "Fe"],
  "frac_coords": [[0.000, 0.000, 0.000], [0.500, 0.500, 0.500], [0.000, 0.000, 0.310], [0.500, 0.500, 0.810], [0.000, 0.000, 0.667], [0.500, 0.500, 0.167]],
  "delta_e_f_ev_per_fu": -0.9,
  "m_tot_mub_per_fu": 0.00,
  "space_group": "I4mm, No. 107"
}

---

We obtain N(E_F) values of 4.65, 13.79, 13.13, 4.64, 10.35, 4.21, 21.23, 2.57, 6.64, 2.85, 7.54, 1.71 states/eV/f.u. for the records listed above, in that order.